# 1
Fe2GeH2, relaxed, DFT PBEsol; symmetry = No. 139; calculated total energy = -0.43424 Ry/atom
1.0
2.869 0.000 0.000
0.000 2.869 0.000
-1.435 -1.435 4.724
H Fe Ge
2 2 1
Direct
0.750 0.250 0.500
0.250 0.750 0.500
0.646 0.646 0.291
0.354 0.354 0.709
0.000 0.000 0.000

# 2
AsP2Os, relaxed, DFT PBEsol; formation enthalpy at 0 K = 0.22 eV/atom; symmetry = No. 99; calculated total energy = -0.51460 Ry/atom
1.0
-0.413 2.647 1.379
-2.083 -1.253 1.780
4.802 -1.595 4.499
Os P As
1 2 1
Direct
0.500 0.500 0.779
0.000 0.000 0.010
0.500 0.500 0.158
0.000 0.000 0.553

> Look up the calculated total energy of the second one.

-0.51460 Ry/atom